CaMg2ZnH after structural relaxation. Source: Alexandria via LeMat-Bulk, functional PBE.

Unit cell a=4.513 b=4.513 c=4.611 alpha=90.00 beta=90.00 gamma=90.00
Positions (direct):
1 Ca 0.000 0.000 0.000
2 Mg 0.000 0.500 0.500
3 Mg 0.500 0.000 0.500
4 Zn 0.500 0.500 0.000
5 H 0.000 0.000 0.500

Properties
Its spin magnetization is 0.0 μB per formula unit. For the total energy, the calculation gives -2.07 eV/atom. The calculation puts the density of states at the Fermi level at 0.2986 states/eV/atom.